(1)
# Ba2CaMg2, PBEsol geometry, DFT SCAN
# Space-group type: P4/mbm (127)
# E_form, kJ/mol of atoms: 1.71
data_Ba2CaMg2
_symmetry_space_group_name_H-M 'P 1'
_symmetry_Int_Tables_number 1
_cell_length_a 8.7651
_cell_length_b 8.7651
_cell_length_c 5.4974
_cell_angle_alpha 90.00
_cell_angle_beta 90.00
_cell_angle_gamma 90.00
loop_
_symmetry_equiv_pos_as_xyz
'x,y,z'
loop_
_atom_site_label
_atom_site_type_symbol
_atom_site_fract_x
_atom_site_fract_y
_atom_site_fract_z
Ba1 Ba 0.1746 0.3254 0.0000
Ba2 Ba 0.3254 0.8254 0.0000
Ba3 Ba 0.6746 0.1746 0.0000
Ba4 Ba 0.8254 0.6746 0.0000
Ca1 Ca 0.0000 0.0000 0.5000
Ca2 Ca 0.5000 0.5000 0.5000
Mg1 Mg 0.1227 0.6227 0.5000
Mg2 Mg 0.3773 0.1227 0.5000
Mg3 Mg 0.6227 0.8773 0.5000
Mg4 Mg 0.8773 0.3773 0.5000

(2)
# BaTe3, PBEsol geometry, DFT SCAN
# Space-group type: P2/m (10)
# Raw formation energy, eV/atom: -0.9159
data_BaTe3
_symmetry_space_group_name_H-M 'P 1'
_symmetry_Int_Tables_number 1
_cell_length_a 4.6593
_cell_length_b 4.2288
_cell_length_c 7.3970
_cell_angle_alpha 90.00
_cell_angle_beta 106.62
_cell_angle_gamma 90.00
loop_
_symmetry_equiv_pos_as_xyz
'x,y,z'
loop_
_atom_site_label
_atom_site_type_symbol
_atom_site_fract_x
_atom_site_fract_y
_atom_site_fract_z
Ba1 Ba 0.0000 0.0000 0.0000
Te1 Te 0.0000 0.0000 0.5000
Te2 Te 0.3702 0.5000 0.7515
Te3 Te 0.6298 0.5000 0.2485

(3)
# Tc5Mo, PBEsol geometry, DFT SCAN
# Space-group type: P-62m (189)
# E_form, kJ/mol of atoms: 9.38
data_Tc5Mo
_symmetry_space_group_name_H-M 'P 1'
_symmetry_Int_Tables_number 1
_cell_length_a 4.7338
_cell_length_b 4.7338
_cell_length_c 4.3907
_cell_angle_alpha 90.00
_cell_angle_beta 90.00
_cell_angle_gamma 120.00
loop_
_symmetry_equiv_pos_as_xyz
'x,y,z'
loop_
_atom_site_label
_atom_site_type_symbol
_atom_site_fract_x
_atom_site_fract_y
_atom_site_fract_z
Tc1 Tc 0.0000 0.6636 0.0000
Tc2 Tc 0.3333 0.6667 0.5000
Tc3 Tc 0.3364 0.3364 0.0000
Tc4 Tc 0.6636 0.0000 0.0000
Tc5 Tc 0.6667 0.3333 0.5000
Mo1 Mo 0.0000 0.0000 0.5000

(4)
# Cu2TeAs, PBEsol geometry, DFT SCAN
# Space-group type: Cmmm (65)
# Raw formation energy, eV/atom: 0.1981
data_Cu2TeAs
_symmetry_space_group_name_H-M 'P 1'
_symmetry_Int_Tables_number 1
_cell_length_a 4.4461
_cell_length_b 4.4461
_cell_length_c 3.7871
_cell_angle_alpha 90.00
_cell_angle_beta 90.00
_cell_angle_gamma 101.06
loop_
_symmetry_equiv_pos_as_xyz
'x,y,z'
loop_
_atom_site_label
_atom_site_type_symbol
_atom_site_fract_x
_atom_site_fract_y
_atom_site_fract_z
Cu1 Cu 0.2245 0.7755 0.0000
Cu2 Cu 0.7755 0.2245 0.0000
Te1 Te 0.5000 0.5000 0.5000
As1 As 0.0000 0.0000 0.5000

(5)
# LaCrHg2, PBEsol geometry, DFT SCAN
# Space-group type: Imm2 (44)
# E_form, kJ/mol of atoms: -15.61
data_LaCrHg2
_symmetry_space_group_name_H-M 'P 1'
_symmetry_Int_Tables_number 1
_cell_length_a 6.8478
_cell_length_b 6.8478
_cell_length_c 6.8478
_cell_angle_alpha 150.26
_cell_angle_beta 142.67
_cell_angle_gamma 48.43
loop_
_symmetry_equiv_pos_as_xyz
'x,y,z'
loop_
_atom_site_label
_atom_site_type_symbol
_atom_site_fract_x
_atom_site_fract_y
_atom_site_fract_z
La1 La 0.0000 0.0000 0.0000
Cr1 Cr 0.2057 0.7057 0.5000
Hg1 Hg 0.3780 0.3780 0.0000
Hg2 Hg 0.7056 0.2056 0.5000

(6)
# CeNi2Sb2, PBEsol geometry, DFT SCAN
# Space-group type: I4/mmm (139)
# Raw formation energy, eV/atom: -0.6268
data_CeNi2Sb2
_symmetry_space_group_name_H-M 'P 1'
_symmetry_Int_Tables_number 1
_cell_length_a 6.0759
_cell_length_b 6.0759
_cell_length_c 6.0759
_cell_angle_alpha 138.68
_cell_angle_beta 138.68
_cell_angle_gamma 59.86
loop_
_symmetry_equiv_pos_as_xyz
'x,y,z'
loop_
_atom_site_label
_atom_site_type_symbol
_atom_site_fract_x
_atom_site_fract_y
_atom_site_fract_z
Ce1 Ce 0.0000 0.0000 0.0000
Ni1 Ni 0.2500 0.7500 0.5000
Ni2 Ni 0.7500 0.2500 0.5000
Sb1 Sb 0.3650 0.3650 0.0000
Sb2 Sb 0.6350 0.6350 0.0000

(7)
# TeAs, PBEsol geometry, DFT SCAN
# Space-group type: Pm-3m (221)
# Raw formation energy, eV/atom: 0.4308
data_TeAs
_symmetry_space_group_name_H-M 'P 1'
_symmetry_Int_Tables_number 1
_cell_length_a 3.5519
_cell_length_b 3.5519
_cell_length_c 3.5519
_cell_angle_alpha 90.00
_cell_angle_beta 90.00
_cell_angle_gamma 90.00
loop_
_symmetry_equiv_pos_as_xyz
'x,y,z'
loop_
_atom_site_label
_atom_site_type_symbol
_atom_site_fract_x
_atom_site_fract_y
_atom_site_fract_z
Te1 Te 0.0000 0.0000 0.0000
As1 As 0.5000 0.5000 0.5000

(8)
# Li4Ru3, PBEsol geometry, DFT SCAN
# Space-group type: P6/mmm (191)
# E_form, kJ/mol of atoms: 12.27
data_Li4Ru3
_symmetry_space_group_name_H-M 'P 1'
_symmetry_Int_Tables_number 1
_cell_length_a 4.9187
_cell_length_b 4.9187
_cell_length_c 4.8633
_cell_angle_alpha 90.00
_cell_angle_beta 90.00
_cell_angle_gamma 120.00
loop_
_symmetry_equiv_pos_as_xyz
'x,y,z'
loop_
_atom_site_label
_atom_site_type_symbol
_atom_site_fract_x
_atom_site_fract_y
_atom_site_fract_z
Li1 Li 0.0000 0.0000 0.2418
Li2 Li 0.0000 0.0000 0.7582
Li3 Li 0.3333 0.6667 0.5000
Li4 Li 0.6667 0.3333 0.5000
Ru1 Ru 0.0000 0.5000 0.0000
Ru2 Ru 0.5000 0.0000 0.0000
Ru3 Ru 0.5000 0.5000 0.0000

(9)
# CrAsNF2, PBEsol geometry, DFT SCAN
# Space-group type: P4/mmm (123)
# Raw formation energy, eV/atom: -0.8743
data_CrAsNF2
_symmetry_space_group_name_H-M 'P 1'
_symmetry_Int_Tables_number 1
_cell_length_a 3.8412
_cell_length_b 3.8412
_cell_length_c 3.9353
_cell_angle_alpha 90.00
_cell_angle_beta 90.00
_cell_angle_gamma 90.00
loop_
_symmetry_equiv_pos_as_xyz
'x,y,z'
loop_
_atom_site_label
_atom_site_type_symbol
_atom_site_fract_x
_atom_site_fract_y
_atom_site_fract_z
Cr1 Cr 0.0000 0.0000 0.0000
As1 As 0.5000 0.5000 0.5000
N1 N 0.0000 0.0000 0.5000
F1 F 0.0000 0.5000 0.0000
F2 F 0.5000 0.0000 0.0000

(10)
# Be3FeAu, PBEsol geometry, DFT SCAN
# Space-group type: Pm-3m (221)
# E_form, kJ/mol of atoms: 63.57
data_Be3FeAu
_symmetry_space_group_name_H-M 'P 1'
_symmetry_Int_Tables_number 1
_cell_length_a 4.2210
_cell_length_b 4.2210
_cell_length_c 4.2210
_cell_angle_alpha 90.00
_cell_angle_beta 90.00
_cell_angle_gamma 90.00
loop_
_symmetry_equiv_pos_as_xyz
'x,y,z'
loop_
_atom_site_label
_atom_site_type_symbol
_atom_site_fract_x
_atom_site_fract_y
_atom_site_fract_z
Be1 Be 0.0000 0.0000 0.5000
Be2 Be 0.0000 0.5000 0.0000
Be3 Be 0.5000 0.0000 0.0000
Fe1 Fe 0.5000 0.5000 0.5000
Au1 Au 0.0000 0.0000 0.0000

(11)
# Eu2O3, PBEsol geometry, DFT SCAN
# Space-group type: Ia-3 (206)
# Raw formation energy, eV/atom: -3.0135
data_Eu2O3
_symmetry_space_group_name_H-M 'P 1'
_symmetry_Int_Tables_number 1
_cell_length_a 9.3635
_cell_length_b 9.3635
_cell_length_c 9.3635
_cell_angle_alpha 109.47
_cell_angle_beta 109.47
_cell_angle_gamma 109.47
loop_
_symmetry_equiv_pos_as_xyz
'x,y,z'
loop_
_atom_site_label
_atom_site_type_symbol
_atom_site_fract_x
_atom_site_fract_y
_atom_site_fract_z
Eu1 Eu 0.0000 0.0000 0.5000
Eu2 Eu 0.0000 0.5000 0.0000
Eu3 Eu 0.0314 0.7500 0.7814
Eu4 Eu 0.2186 0.9686 0.2500
Eu5 Eu 0.2500 0.2186 0.9686
Eu6 Eu 0.2500 0.7186 0.4686
Eu7 Eu 0.2814 0.5314 0.7500
Eu8 Eu 0.4686 0.2500 0.7186
Eu9 Eu 0.5000 0.0000 0.0000
Eu10 Eu 0.5000 0.5000 0.5000
Eu11 Eu 0.5314 0.7500 0.2814
Eu12 Eu 0.7186 0.4686 0.2500
Eu13 Eu 0.7500 0.2814 0.5314
Eu14 Eu 0.7500 0.7814 0.0314
Eu15 Eu 0.7814 0.0314 0.7500
Eu16 Eu 0.9686 0.2500 0.2186
O1 O 0.0074 0.0394 0.2702
O2 O 0.0320 0.4926 0.7628
O3 O 0.0394 0.2702 0.0074
O4 O 0.2298 0.2692 0.7372
O5 O 0.2308 0.4606 0.4680
O6 O 0.2372 0.9680 0.5074
O7 O 0.2628 0.7702 0.7308
O8 O 0.2692 0.7372 0.2298
O9 O 0.2702 0.0074 0.0394
O10 O 0.4606 0.4680 0.2308
O11 O 0.4680 0.2308 0.4606
O12 O 0.4926 0.7628 0.0320
O13 O 0.5074 0.2372 0.9680
O14 O 0.5320 0.7692 0.5394
O15 O 0.5394 0.5320 0.7692
O16 O 0.7298 0.9926 0.9606
O17 O 0.7308 0.2628 0.7702
O18 O 0.7372 0.2298 0.2692
O19 O 0.7628 0.0320 0.4926
O20 O 0.7692 0.5394 0.5320
O21 O 0.7702 0.7308 0.2628
O22 O 0.9606 0.7298 0.9926
O23 O 0.9680 0.5074 0.2372
O24 O 0.9926 0.9606 0.7298

(12)
# NbBiPS2, PBEsol geometry, DFT SCAN
# Space-group type: P4/mmm (123)
# Raw formation energy, eV/atom: 1.1805
data_NbBiPS2
_symmetry_space_group_name_H-M 'P 1'
_symmetry_Int_Tables_number 1
_cell_length_a 5.0389
_cell_length_b 5.0389
_cell_length_c 5.0462
_cell_angle_alpha 90.00
_cell_angle_beta 90.00
_cell_angle_gamma 90.00
loop_
_symmetry_equiv_pos_as_xyz
'x,y,z'
loop_
_atom_site_label
_atom_site_type_symbol
_atom_site_fract_x
_atom_site_fract_y
_atom_site_fract_z
Nb1 Nb 0.0000 0.0000 0.0000
Bi1 Bi 0.5000 0.5000 0.5000
P1 P 0.5000 0.5000 0.0000
S1 S 0.0000 0.5000 0.5000
S2 S 0.5000 0.0000 0.5000

(13)
# In2TcSe, PBEsol geometry, DFT SCAN
# Space-group type: Pmmm (47)
# Raw formation energy, eV/atom: 0.5431
data_In2TcSe
_symmetry_space_group_name_H-M 'P 1'
_symmetry_Int_Tables_number 1
_cell_length_a 3.5787
_cell_length_b 4.4067
_cell_length_c 4.7831
_cell_angle_alpha 90.00
_cell_angle_beta 90.00
_cell_angle_gamma 90.00
loop_
_symmetry_equiv_pos_as_xyz
'x,y,z'
loop_
_atom_site_label
_atom_site_type_symbol
_atom_site_fract_x
_atom_site_fract_y
_atom_site_fract_z
In1 In 0.0000 0.0000 0.0000
In2 In 0.5000 0.0000 0.5000
Tc1 Tc 0.0000 0.5000 0.5000
Se1 Se 0.5000 0.5000 0.0000

(14)
# CaSiPb3, PBEsol geometry, DFT SCAN
# Space-group type: Pm-3m (221)
# Raw formation energy, eV/atom: 0.2109
data_CaSiPb3
_symmetry_space_group_name_H-M 'P 1'
_symmetry_Int_Tables_number 1
_cell_length_a 5.3831
_cell_length_b 5.3831
_cell_length_c 5.3831
_cell_angle_alpha 90.00
_cell_angle_beta 90.00
_cell_angle_gamma 90.00
loop_
_symmetry_equiv_pos_as_xyz
'x,y,z'
loop_
_atom_site_label
_atom_site_type_symbol
_atom_site_fract_x
_atom_site_fract_y
_atom_site_fract_z
Ca1 Ca 0.0000 0.0000 0.0000
Si1 Si 0.5000 0.5000 0.5000
Pb1 Pb 0.0000 0.5000 0.5000
Pb2 Pb 0.5000 0.0000 0.5000
Pb3 Pb 0.5000 0.5000 0.0000

(15)
# Ag2Au, PBEsol geometry, DFT SCAN
# Space-group type: Immm (71)
# E_form, kJ/mol of atoms: -7.21
data_Ag2Au
_symmetry_space_group_name_H-M 'P 1'
_symmetry_Int_Tables_number 1
_cell_length_a 4.9738
_cell_length_b 4.9738
_cell_length_c 4.9738
_cell_angle_alpha 146.76
_cell_angle_beta 131.69
_cell_angle_gamma 59.91
loop_
_symmetry_equiv_pos_as_xyz
'x,y,z'
loop_
_atom_site_label
_atom_site_type_symbol
_atom_site_fract_x
_atom_site_fract_y
_atom_site_fract_z
Ag1 Ag 0.1667 0.1667 0.0000
Ag2 Ag 0.8333 0.8333 0.0000
Au1 Au 0.5000 0.5000 0.0000

(16)
# Zr2TaTc, PBEsol geometry, DFT SCAN
# Space-group type: F-43m (216)
# E_form, kJ/mol of atoms: -7.28
data_Zr2TaTc
_symmetry_space_group_name_H-M 'P 1'
_symmetry_Int_Tables_number 1
_cell_length_a 4.6662
_cell_length_b 4.6662
_cell_length_c 4.6662
_cell_angle_alpha 60.00
_cell_angle_beta 60.00
_cell_angle_gamma 60.00
loop_
_symmetry_equiv_pos_as_xyz
'x,y,z'
loop_
_atom_site_label
_atom_site_type_symbol
_atom_site_fract_x
_atom_site_fract_y
_atom_site_fract_z
Zr1 Zr 0.0000 0.0000 0.0000
Zr2 Zr 0.2500 0.2500 0.2500
Ta1 Ta 0.5000 0.5000 0.5000
Tc1 Tc 0.7500 0.7500 0.7500

(17)
# HfTlBi2, PBEsol geometry, DFT SCAN
# Space-group type: Fm-3m (225)
# E_form, kJ/mol of atoms: 24.72
data_HfTlBi2
_symmetry_space_group_name_H-M 'P 1'
_symmetry_Int_Tables_number 1
_cell_length_a 5.3271
_cell_length_b 5.3271
_cell_length_c 5.3271
_cell_angle_alpha 60.00
_cell_angle_beta 60.00
_cell_angle_gamma 60.00
loop_
_symmetry_equiv_pos_as_xyz
'x,y,z'
loop_
_atom_site_label
_atom_site_type_symbol
_atom_site_fract_x
_atom_site_fract_y
_atom_site_fract_z
Hf1 Hf 0.0000 0.0000 0.0000
Tl1 Tl 0.5000 0.5000 0.5000
Bi1 Bi 0.2500 0.2500 0.2500
Bi2 Bi 0.7500 0.7500 0.7500

(18)
# TlSb2Cl, PBEsol geometry, DFT SCAN
# Space-group type: Fm-3m (225)
# Raw formation energy, eV/atom: 0.0936
data_TlSb2Cl
_symmetry_space_group_name_H-M 'P 1'
_symmetry_Int_Tables_number 1
_cell_length_a 5.1661
_cell_length_b 5.1661
_cell_length_c 5.1661
_cell_angle_alpha 60.00
_cell_angle_beta 60.00
_cell_angle_gamma 60.00
loop_
_symmetry_equiv_pos_as_xyz
'x,y,z'
loop_
_atom_site_label
_atom_site_type_symbol
_atom_site_fract_x
_atom_site_fract_y
_atom_site_fract_z
Tl1 Tl 0.0000 0.0000 0.0000
Sb1 Sb 0.2500 0.2500 0.2500
Sb2 Sb 0.7500 0.7500 0.7500
Cl1 Cl 0.5000 0.5000 0.5000

(19)
# Ba3C, PBEsol geometry, DFT SCAN
# Space-group type: Cmcm (63)
# E_form, kJ/mol of atoms: 36.70
data_Ba3C
_symmetry_space_group_name_H-M 'P 1'
_symmetry_Int_Tables_number 1
_cell_length_a 9.3218
_cell_length_b 9.3218
_cell_length_c 3.8568
_cell_angle_alpha 90.00
_cell_angle_beta 90.00
_cell_angle_gamma 102.23
loop_
_symmetry_equiv_pos_as_xyz
'x,y,z'
loop_
_atom_site_label
_atom_site_type_symbol
_atom_site_fract_x
_atom_site_fract_y
_atom_site_fract_z
Ba1 Ba 0.1451 0.8549 0.7500
Ba2 Ba 0.2126 0.4928 0.7500
Ba3 Ba 0.4928 0.2126 0.2500
Ba4 Ba 0.5072 0.7874 0.7500
Ba5 Ba 0.7874 0.5072 0.2500
Ba6 Ba 0.8549 0.1451 0.2500
C1 C 0.2839 0.7161 0.2500
C2 C 0.7161 0.2839 0.7500

(20)
# CdCuPS2, PBEsol geometry, DFT SCAN
# Space-group type: P4/mmm (123)
# Raw formation energy, eV/atom: 1.2320
data_CdCuPS2
_symmetry_space_group_name_H-M 'P 1'
_symmetry_Int_Tables_number 1
_cell_length_a 4.8994
_cell_length_b 4.8994
_cell_length_c 4.8524
_cell_angle_alpha 90.00
_cell_angle_beta 90.00
_cell_angle_gamma 90.00
loop_
_symmetry_equiv_pos_as_xyz
'x,y,z'
loop_
_atom_site_label
_atom_site_type_symbol
_atom_site_fract_x
_atom_site_fract_y
_atom_site_fract_z
Cd1 Cd 0.0000 0.0000 0.0000
Cu1 Cu 0.5000 0.5000 0.5000
P1 P 0.0000 0.0000 0.5000
S1 S 0.0000 0.5000 0.0000
S2 S 0.5000 0.0000 0.0000